(1)
Density functional theory data (GGA-PBE) for crystalline HoBeO3 at its relaxed geometry.

Geometry as extended XYZ:
```
5
Lattice="3.5613 0.0000 0.0000 0.0000 3.5613 0.0000 0.0000 0.0000 3.5613" Properties=species:S:1:pos:R:3 pbc="T T T"
Ho 0.0000 0.0000 0.0000
Be 1.7806 1.7806 1.7806
O 0.0000 1.7806 1.7806
O 1.7806 0.0000 1.7806
O 1.7806 1.7806 0.0000
```

=====

(2)
Density functional theory data (GGA-PBE) for crystalline HoPaBeO6 at its relaxed geometry.

Geometry as extended XYZ:
```
9
Lattice="5.2175 0.0000 0.0000 -2.6088 4.5185 0.0000 0.0000 0.0000 4.8038" Properties=species:S:1:pos:R:3 pbc="T T T"
Ho 0.0000 0.0000 0.0000
Pa 2.6088 1.5062 2.4019
Be 0.0000 3.0123 0.0000
O -0.8713 1.7403 1.1001
O -1.5372 2.8938 3.7037
O 0.8713 1.7403 3.7037
O -0.6659 4.4029 1.1001
O 1.5372 2.8938 1.1001
O 0.6659 4.4029 3.7037
```

=====

(3)
Density functional theory data (GGA-PBE) for crystalline Rb2HoBeO4 at its relaxed geometry.

Geometry as extended XYZ:
```
16
Lattice="0.0000 6.0244 11.5469 2.5400 0.0000 11.5469 2.5400 6.0244 0.0000" Properties=species:S:1:pos:R:3 pbc="T T T"
Rb 1.9050 4.5183 1.2416
Rb 3.1750 7.5305 7.0150
Rb 1.9050 4.5183 16.0787
Rb 3.1750 7.5305 21.8521
Ho 0.6350 1.5061 2.8867
Ho 4.4451 10.5427 20.2070
Be 1.9050 4.5183 8.6601
Be 3.1750 7.5305 14.4336
O 2.8653 3.5026 7.7186
O 2.8653 5.5340 9.6016
O 4.1353 6.5148 15.3751
O 4.1353 8.5462 13.4921
O 0.9448 3.5026 9.6016
O 0.9448 5.5340 7.7186
O 2.2148 6.5148 13.4921
O 2.2148 8.5462 15.3751
```

=====

(4)
Density functional theory data (GGA-PBE) for crystalline Sr3HoBe2O6 at its relaxed geometry.

Geometry as extended XYZ:
```
12
Lattice="5.6402 0.0000 0.0000 -2.8201 4.8846 0.0000 0.0000 0.0000 6.8608" Properties=species:S:1:pos:R:3 pbc="T T T"
Sr 0.0000 0.0000 0.0000
Sr 0.0000 3.2564 4.7215
Sr 2.8201 1.6282 2.1393
Ho 0.0000 0.0000 3.4304
Be 0.0000 3.2564 1.7851
Be 2.8201 1.6282 5.0757
O 0.0000 1.7238 2.0132
O -1.3273 4.0227 2.0132
O 1.4928 0.8619 4.8476
O 1.3273 4.0227 2.0132
O 4.1474 0.8619 4.8476
O 2.8201 3.1608 4.8476
```

=====

Computed values of raw formation energy (unit: eV/atom) for the preceding records, in sequence: -2.4760, -2.5461, -1.8683, -2.7043.
Computed values of DOS at the Fermi energy (unit: states/eV/atom) for the preceding records, in sequence: 0.558, 0.610, 0.704, 0.129.